1.
Compound: Pr2HoNpAs4
Source: Alexandria via LeMat-Bulk
Functional: PBE-GGA
Structure: relaxed

a b c (Å): 7.2703 4.1988 7.2850
angles (deg): 90.00 109.30 90.00
Closest atoms and distances in Å follow each position.
Fractional coordinates of all 8 atoms:
Pr  0.0000  0.0000  0.0000  6 As 3.04
Pr  0.5000  0.5000  0.0000  6 As 3.02-3.03
Ho  0.0000  0.5000  0.5000  6 As 2.92
Np  0.5000  0.0000  0.5000  6 As 2.90-2.91
As  0.2474  0.0000  0.7352  1 Np 2.90, 2 Ho 2.92, 3 Pr 3.03-3.04
As  0.2560  0.5000  0.2649  2 Np 2.91, 1 Ho 2.92, 3 Pr 3.02-3.04
As  0.7440  0.5000  0.7351  2 Np 2.91, 1 Ho 2.92, 3 Pr 3.02-3.04
As  0.7526  0.0000  0.2648  1 Np 2.90, 2 Ho 2.92, 3 Pr 3.03-3.04

Values from the calculation:
space group: P2/m, No. 10
total energy: -56.0 eV for the cell shown

=====

2.
Compound: HoNpSc2As4
Source: Alexandria via LeMat-Bulk
Functional: PBE-GGA
Structure: relaxed

a b c (Å): 6.8947 3.9882 6.9228
angles (deg): 90.00 109.37 90.00
Closest atoms and distances in Å follow each position.
Fractional coordinates of all 8 atoms:
Ho  0.0000  0.0000  0.0000  6 As 2.87
Np  0.0000  0.5000  0.5000  6 As 2.86-2.87
Sc  0.5000  0.0000  0.5000  6 As 2.77
Sc  0.5000  0.5000  0.0000  6 As 2.77-2.78
As  0.2625  0.5000  0.2560  3 Sc 2.77-2.78, 1 Np 2.86, 2 Ho 2.87
As  0.2637  0.0000  0.7542  3 Sc 2.77, 1 Ho 2.87, 2 Np 2.87
As  0.7363  0.0000  0.2458  3 Sc 2.77, 1 Ho 2.87, 2 Np 2.87
As  0.7375  0.5000  0.7440  3 Sc 2.77-2.78, 1 Np 2.86, 2 Ho 2.87

Values from the calculation:
space group: P2/m, No. 10
total energy: -58.6 eV for the cell shown

=====

3.
Compound: Ho2NpScAs4
Source: Alexandria via LeMat-Bulk
Functional: PBE-GGA
Structure: relaxed

a b c (Å): 6.9979 4.0447 7.0136
angles (deg): 90.00 109.27 90.00
Closest atoms and distances in Å follow each position.
Fractional coordinates of all 8 atoms:
Ho  0.0000  0.0000  0.0000  6 As 2.91-2.92
Ho  0.5000  0.5000  0.0000  6 As 2.87
Np  0.0000  0.5000  0.5000  6 As 2.84-2.86
Sc  0.5000  0.0000  0.5000  6 As 2.80-2.81
As  0.2539  0.0000  0.7447  1 Sc 2.80, 2 Np 2.86, 3 Ho 2.87-2.91
As  0.2575  0.5000  0.2602  2 Sc 2.81, 1 Np 2.84, 3 Ho 2.87-2.92
As  0.7425  0.5000  0.7398  2 Sc 2.81, 1 Np 2.84, 3 Ho 2.87-2.92
As  0.7461  0.0000  0.2553  1 Sc 2.80, 2 Np 2.86, 3 Ho 2.87-2.91

Values from the calculation:
space group: P2/m, No. 10
total energy: -57.1 eV for the cell shown

=====

4.
Compound: SmHo2NpAs4
Source: Alexandria via LeMat-Bulk
Functional: PBE-GGA
Structure: relaxed

a b c (Å): 7.1445 4.1242 7.1542
angles (deg): 90.00 109.34 90.00
Closest atoms and distances in Å follow each position.
Fractional coordinates of all 8 atoms:
Sm  0.0000  0.0000  0.0000  6 As 2.95
Ho  0.5000  0.0000  0.5000  6 As 2.89
Ho  0.5000  0.5000  0.0000  6 As 2.92-2.93
Np  0.0000  0.5000  0.5000  6 As 2.90-2.92
As  0.2517  0.0000  0.7468  3 Ho 2.89-2.92, 2 Np 2.92, 1 Sm 2.95
As  0.2534  0.5000  0.2564  3 Ho 2.89-2.93, 1 Np 2.90, 2 Sm 2.95
As  0.7466  0.5000  0.7436  3 Ho 2.89-2.93, 1 Np 2.90, 2 Sm 2.95
As  0.7483  0.0000  0.2532  3 Ho 2.89-2.92, 2 Np 2.92, 1 Sm 2.95

Values from the calculation:
space group: P2/m, No. 10
total energy: -55.9 eV for the cell shown

=====

5.
Compound: Sr3Ho2NpAs6
Source: Alexandria via LeMat-Bulk
Functional: PBE-GGA
Structure: relaxed

a b c (Å): 7.3134 7.3134 7.5404
angles (deg): 99.30 99.30 119.98
Closest atoms and distances in Å follow each position.
Fractional coordinates of all 12 atoms:
Sr  0.0000  0.0000  0.0000  6 As 3.13-3.25
Sr  0.3302  0.6698  0.0000  6 As 3.13-3.21
Sr  0.6698  0.3302  0.0000  6 As 3.13-3.21
Ho  0.1661  0.8339  0.5000  6 As 2.93
Ho  0.8339  0.1661  0.5000  6 As 2.93
Np  0.5000  0.5000  0.5000  6 As 2.80-2.81
As  0.1075  0.4281  0.2832  1 Np 2.81, 2 Ho 2.93, 2 Sr 3.13
As  0.2531  0.2531  0.7165  1 Np 2.80, 2 Ho 2.93
As  0.4281  0.1075  0.2832  1 Np 2.81, 2 Ho 2.93, 2 Sr 3.13
As  0.5719  0.8925  0.7168  1 Np 2.81, 2 Ho 2.93, 2 Sr 3.13
As  0.7469  0.7469  0.2835  1 Np 2.80, 2 Ho 2.93
As  0.8925  0.5719  0.7168  1 Np 2.81, 2 Ho 2.93, 2 Sr 3.13

Values from the calculation:
space group: C2/m, No. 12
total energy: -68.8 eV for the cell shown

=====

6.
Compound: HoThNp2As4
Source: Alexandria via LeMat-Bulk
Functional: PBE-GGA
Structure: relaxed

a b c (Å): 7.1788 4.1450 7.1991
angles (deg): 90.00 109.46 90.00
Closest atoms and distances in Å follow each position.
Fractional coordinates of all 8 atoms:
Ho  0.0000  0.0000  0.0000  6 As 2.93
Th  0.0000  0.5000  0.5000  6 As 2.98
Np  0.5000  0.0000  0.5000  6 As 2.93-2.94
Np  0.5000  0.5000  0.0000  6 As 2.89
As  0.2537  0.5000  0.2468  3 Np 2.89-2.93, 2 Ho 2.93, 1 Th 2.98
As  0.2566  0.0000  0.7581  3 Np 2.89-2.94, 1 Ho 2.93, 2 Th 2.98
As  0.7435  0.0000  0.2419  3 Np 2.89-2.94, 1 Ho 2.93, 2 Th 2.98
As  0.7463  0.5000  0.7532  3 Np 2.89-2.93, 2 Ho 2.93, 1 Th 2.98

Values from the calculation:
space group: P2/m, No. 10
total energy: -64.9 eV for the cell shown

=====

7.
Compound: HoTmNp2As4
Source: Alexandria via LeMat-Bulk
Functional: PBE-GGA
Structure: relaxed

a b c (Å): 7.0814 4.0867 7.1002
angles (deg): 90.00 109.41 90.00
Closest atoms and distances in Å follow each position.
Fractional coordinates of all 8 atoms:
Ho  0.0000  0.0000  0.0000  6 As 2.90
Tm  0.5000  0.5000  0.0000  6 As 2.89
Np  0.0000  0.5000  0.5000  6 As 2.90
Np  0.5000  0.0000  0.5000  6 As 2.89
As  0.2514  0.0000  0.7507  2 Tm 2.89, 3 Np 2.89-2.90, 1 Ho 2.90
As  0.2512  0.5000  0.2502  1 Tm 2.89, 3 Np 2.89-2.90, 2 Ho 2.90
As  0.7486  0.0000  0.2493  2 Tm 2.89, 3 Np 2.89-2.90, 1 Ho 2.90
As  0.7488  0.5000  0.7498  1 Tm 2.89, 3 Np 2.89-2.90, 2 Ho 2.90

Values from the calculation:
space group: P2/m, No. 10
total energy: -62.3 eV for the cell shown

=====

8.
Compound: HoTm2NpAs4
Source: Alexandria via LeMat-Bulk
Functional: PBE-GGA
Structure: relaxed

a b c (Å): 7.0644 4.0764 7.0692
angles (deg): 90.00 109.33 90.00
Closest atoms and distances in Å follow each position.
Fractional coordinates of all 8 atoms:
Ho  0.0000  0.0000  0.0000  6 As 2.89-2.90
Tm  0.5000  0.0000  0.5000  6 As 2.87-2.88
Tm  0.5000  0.5000  0.0000  6 As 2.88-2.89
Np  0.0000  0.5000  0.5000  6 As 2.88-2.89
As  0.2512  0.5000  0.2520  3 Tm 2.88-2.89, 1 Np 2.88, 2 Ho 2.90
As  0.2520  0.0000  0.7504  3 Tm 2.87-2.88, 1 Ho 2.89, 2 Np 2.89
As  0.7480  0.0000  0.2496  3 Tm 2.87-2.88, 1 Ho 2.89, 2 Np 2.89
As  0.7488  0.5000  0.7480  3 Tm 2.88-2.89, 1 Np 2.88, 2 Ho 2.90

Values from the calculation:
space group: P2/m, No. 10
total energy: -55.4 eV for the cell shown

=====

9.
Compound: HoZrNp2As4
Source: Alexandria via LeMat-Bulk
Functional: PBE-GGA
Structure: relaxed

a b c (Å): 6.9880 4.0233 7.0135
angles (deg): 90.00 109.27 90.00
Closest atoms and distances in Å follow each position.
Fractional coordinates of all 8 atoms:
Ho  0.0000  0.0000  0.0000  6 As 2.85
Zr  0.0000  0.5000  0.5000  6 As 2.79-2.80
Np  0.5000  0.0000  0.5000  6 As 2.86
Np  0.5000  0.5000  0.0000  6 As 2.91
As  0.2410  0.0000  0.7414  2 Zr 2.80, 1 Ho 2.85, 3 Np 2.86-2.91
As  0.2446  0.5000  0.2551  1 Zr 2.79, 2 Ho 2.85, 3 Np 2.86-2.91
As  0.7554  0.5000  0.7449  1 Zr 2.79, 2 Ho 2.85, 3 Np 2.86-2.91
As  0.7590  0.0000  0.2586  2 Zr 2.80, 1 Ho 2.85, 3 Np 2.86-2.91

Values from the calculation:
space group: P2/m, No. 10
total energy: -65.6 eV for the cell shown

=====

- What is the formula in the sixth record?
  HoThNp2As4

=====

- total energy of number 9 (HoZrNp2As4)?
  -65.6 eV for the cell shown